[1]
18
Lattice="-0.510 0.365 -4.699 1.874 -4.321 -0.539 -8.249 -3.654 0.612" Properties=species:S:1:pos:R:3 comment="LiMoIrO6, relaxed, DFT PBE with a Hubbard U" n_ef_per_ev_fu=5.114 vol_a3_per_atom=11.29 total_energy_ev_per_atom=-6.560 pbc="T T T"
O -5.212 -3.632 -1.104
Mo -5.553 -2.460 0.412
O -6.744 -3.612 -3.319
Li -0.029 -0.013 0.002
O -5.369 -6.315 -0.919
O -4.203 -2.316 -3.636
Ir -2.715 -1.203 0.201
O 0.928 -2.699 -3.572
O -2.221 -2.299 -1.317
O -0.109 -3.995 -1.301
O -2.686 -5.296 -0.989
O -4.639 -5.292 -3.302
Li -3.471 -3.818 -2.311
O 0.432 -1.259 -1.666
O -1.644 -3.973 -3.533
Ir -6.157 -5.008 -2.111
O -1.493 -1.276 -3.716
Mo -0.747 -2.611 -2.513

=====

[2]
12
Lattice="-0.619 -2.845 -3.647 -0.613 -3.642 2.842 -6.099 1.140 0.146" Properties=species:S:1:pos:R:3 comment="LiMoIr2O8, relaxed, DFT PBE with a Hubbard U" n_ef_per_ev_fu=6.500 vol_a3_per_atom=11.24 total_energy_ev_per_atom=-6.684 pbc="T T T"
Mo 0.000 0.000 0.000
O -1.990 -3.221 1.571
O -3.888 -3.848 -0.471
O -0.377 -1.987 -0.251
Li -3.049 0.570 0.073
O -5.340 -2.126 -2.230
O -5.335 -2.595 1.651
O -6.953 -3.360 -0.408
O -1.996 -2.751 -2.310
O -3.442 -1.498 -0.188
Ir -2.158 -2.955 -0.366
Ir -5.173 -2.391 -0.293